Compound: Cs2TiMoF6
Source: Alexandria
Functional: GGA+U
Structure: optimized geometry

Output
raw total energy	-104.896	eV/cell
M_tot	4.00	μB per formula unit
volume	350.6	Å³/cell

Cell lengths 6.2613, 6.2613, 8.9422 Å; angles 90.00, 90.00, 90.00 degrees
Closest atoms and distances in Å follow each position.
Space group I4/mmm (No. 139)
One atom of each set of equivalent atoms:
Cs (0.0000, 0.5000, 0.2500) x4  12 F 3.13-3.15
Ti (0.0000, 0.0000, 0.0000) x2  6 F 2.13-2.29
Mo (0.0000, 0.0000, 0.5000) x2  6 F 2.18-2.30
F (0.0000, 0.0000, 0.2558) x4  1 Mo 2.18, 1 Ti 2.29
F (0.2402, 0.2402, 0.0000) x8  1 Ti 2.13, 1 Mo 2.30